No. 1
A plane-wave DFT calculation with GGA-PBE was carried out for a geometry-optimized Sn2PBrN structure. Values from VASP.

Cell and atoms, written as Quantum ESPRESSO input:
```
&SYSTEM
  ibrav = 0, nat = 5, ntyp = 4
/
ATOMIC_SPECIES
Sn 118.71 Sn.upf
P 30.97 P.upf
Br 79.90 Br.upf
N 14.01 N.upf
CELL_PARAMETERS angstrom
5.3021 0.0000 0.0000
0.0000 5.3021 0.0000
0.0000 0.0000 4.7925
ATOMIC_POSITIONS angstrom
Sn 0.0000 2.6511 0.0000
Sn 2.6511 0.0000 0.0000
P 0.0000 0.0000 0.0000
Br 0.0000 0.0000 2.3962
N 2.6511 2.6511 2.3962
```

Computed properties:
Raw formation energy, eV per atom: 1.3797
Size of the total moment, Bohr magnetons per cell: 0.0

---

No. 2
A plane-wave DFT calculation with GGA-PBE was carried out for a geometry-optimized Sr6P2Br2N structure. Values from VASP.

Cell and atoms, written as Quantum ESPRESSO input:
```
&SYSTEM
  ibrav = 0, nat = 11, ntyp = 4
/
ATOMIC_SPECIES
Sr 87.62 Sr.upf
P 30.97 P.upf
Br 79.90 Br.upf
N 14.01 N.upf
CELL_PARAMETERS angstrom
3.7410 -6.4477 0.0000
3.7410 6.4477 0.0000
-2.5983 0.0000 7.3615
ATOMIC_POSITIONS angstrom
Sr 1.1424 1.9622 1.4799
Sr -0.3304 0.0000 5.9205
Sr 1.1424 -1.9622 1.4799
Sr 3.7413 1.9622 5.8816
Sr 5.2141 0.0000 1.4410
Sr 3.7413 -1.9622 5.8816
P 3.7410 2.1589 0.0000
P 3.7410 -2.1589 0.0000
Br 2.4418 4.2830 3.6807
Br 2.4418 -4.2830 3.6807
N 0.0000 0.0000 0.0000
```

Computed properties:
Raw formation energy, eV per atom: -1.2400
Size of the total moment, Bohr magnetons per cell: 1.0

---

No. 3
A plane-wave DFT calculation with GGA-PBE was carried out for a geometry-optimized Sr5P2BrN structure. Values from VASP.

Cell and atoms, written as Quantum ESPRESSO input:
```
&SYSTEM
  ibrav = 0, nat = 9, ntyp = 4
/
ATOMIC_SPECIES
Sr 87.62 Sr.upf
P 30.97 P.upf
Br 79.90 Br.upf
N 14.01 N.upf
CELL_PARAMETERS angstrom
-2.4865 3.7833 7.3650
2.4865 -3.7833 7.3650
2.4865 3.7833 -7.3650
ATOMIC_POSITIONS angstrom
Sr 0.0000 0.0000 0.0000
Sr 2.4865 1.6985 -2.0984
Sr 2.4865 1.6985 2.0984
Sr 0.0000 2.0848 5.2665
Sr 0.0000 2.0848 9.4634
P 0.0000 0.0000 3.0443
P 0.0000 0.0000 11.6856
Br 0.0000 3.7833 0.0000
N 2.4865 0.0000 0.0000
```

Computed properties:
Raw formation energy, eV per atom: -1.0756
Size of the total moment, Bohr magnetons per cell: 0.0